4
Lattice="4.714 -1.693 -2.866 -1.515 4.775 2.866 -3.161 0.080 4.828" Properties=species:S:1:pos:R:3 comment="Ta2CrRe (GGA-PBE, relaxed)" crystal_system=orthorhombic n_ef_per_ev_cell=4.25 formation_enthalpy_0k_ev_per_atom=0.878 volume_a3_per_atom=16.91 magnetic_moment_mub_per_fu=0.0 pbc="T T T"
Ta -1.131 1.175 1.861
Ta -3.544 3.680 5.832
Cr 0.000 0.000 0.000
Re -2.338 2.427 3.847

=====

7
Lattice="-1.931 -2.217 2.394 1.818 -2.640 2.025 1.011 3.114 6.703" Properties=species:S:1:pos:R:3 comment="Np2H4Se (GGA-PBE, relaxed)" energy_ev_per_atom=-6.616 crystal_system=trigonal n_ef_per_ev_cell=12.41 volume_a3_per_atom=12.68 magnetic_moment_mub_per_fu=8.0 pbc="T T T"
Np 0.251 -0.314 2.915
Np 0.646 -1.429 8.206
H 0.650 0.038 6.565
H 0.585 1.193 4.580
H 0.247 -1.780 4.556
H 0.312 -2.935 6.541
Se 0.000 0.000 0.000